PBE Ca3NiC, optimized geometry; formation energy = 0.33 eV/atom; calculated volume = 24.36 Å³/atom; density of states at the Fermi level = 0.06 states/eV per atom; SG = Pm-3m (221); excess energy over the best structure of this formula in the dataset = 0.000 eV per atom
1.0
4.9568 0.0000 0.0000
0.0000 4.9568 0.0000
0.0000 0.0000 4.9568
Ca C Ni
3 1 1
direct
0.0000 0.5000 0.0000
0.0000 0.0000 0.5000
0.5000 0.0000 0.0000
0.0000 0.0000 0.0000
0.5000 0.5000 0.5000

PBE TlSiAu3, optimized geometry; calculated volume = 28.46 Å³/atom; formation energy from raw total energies = 102 kJ/mol of atoms; density of states at the Fermi level = 0.42 states/eV per atom; SG = Pm-3m (221); excess energy over the best structure of this formula in the dataset = 1.049 eV per atom
1.0
-2.8520 -1.9175 -3.9302
-0.2318 -4.6193 2.4219
-4.3669 1.4975 2.4382
Si Au Tl
1 3 1
direct
0.5000 0.5000 0.5000
0.0000 0.5000 0.0000
0.0000 0.0000 0.5000
0.5000 0.0000 0.0000
0.0000 0.0000 0.0000

PBE RbTe3Au3, optimized geometry; calculated volume = 34.68 Å³/atom; formation energy from raw total energies = -20 kJ/mol of atoms; density of states at the Fermi level = 0.87 states/eV per atom; SG = R-3 (148); excess energy over the best structure of this formula in the dataset = 0.100 eV per atom
1.0
8.1048 0.0000 0.0000
4.0524 7.0190 0.0000
4.0524 2.3397 8.5342
Te Au Rb
6 6 2
direct
0.1013 0.7754 0.6971
0.8987 0.2246 0.3029
0.7754 0.4262 0.6971
0.5738 0.8987 0.3029
0.4262 0.1013 0.6971
0.2246 0.5738 0.3029
0.7740 0.1166 0.6485
0.1166 0.4608 0.6485
0.5392 0.2260 0.3515
0.8834 0.5392 0.3515
0.2260 0.8834 0.3515
0.4608 0.7740 0.6485
0.3333 0.3333 0.0002
0.6667 0.6667 0.9998

Question: Which value of excess energy over the best structure of this formula in the dataset does entry 3 give?
Answer: 0.100 eV per atom

Question: Among the records above, which one has the highest excess energy over the best structure of this formula in the dataset?
Answer: TlSiAu3

Question: Among the records above, which one has the lowest excess energy over the best structure of this formula in the dataset?
Answer: Ca3NiC